1.
# Ba2BiRh4Pb3 PBE optimized geometry
data_Ba2BiRh4Pb3
_cell_length_a 4.8452
_cell_length_b 4.8452
_cell_length_c 10.8874
_cell_angle_alpha 90.00
_cell_angle_beta 90.00
_cell_angle_gamma 90.00
_symmetry_space_group_name_H-M 'P -4 m 2'
_symmetry_Int_Tables_number 115
loop_
_symmetry_equiv_pos_as_xyz
'x,y,z'
'y,-x,-z'
'-x,-y,z'
'-y,x,-z'
'-x,y,z'
'-y,-x,-z'
'x,-y,z'
'y,x,-z'
loop_
_atom_site_label
_atom_site_type_symbol
_atom_site_fract_x
_atom_site_fract_y
_atom_site_fract_z
Ba1 Ba 0.0000 0.5000 0.2417
Bi1 Bi 0.0000 0.0000 0.5000
Rh1 Rh 0.0000 0.0000 0.0000
Rh2 Rh 0.0000 0.5000 0.6260
Rh3 Rh 0.5000 0.5000 0.0000
Pb1 Pb 0.0000 0.5000 0.8785
Pb2 Pb 0.5000 0.5000 0.5000
# - uncorrected energy (eV/atom) = -5.1671
# - calculated formation energy (eV/atom) = -0.341


2.
# La2Tb2Cd PBE optimized geometry
data_La2Tb2Cd
_cell_length_a 3.7005
_cell_length_b 3.7005
_cell_length_c 23.2703
_cell_angle_alpha 90.00
_cell_angle_beta 90.00
_cell_angle_gamma 90.00
_symmetry_space_group_name_H-M 'I 4/m m m'
_symmetry_Int_Tables_number 139
_symmetry_space_group_name_Hall '-I 4 2'
loop_
_atom_site_label
_atom_site_type_symbol
_atom_site_fract_x
_atom_site_fract_y
_atom_site_fract_z
La1 La 0.0000 0.0000 0.1925
Tb1 Tb 0.0000 0.0000 0.4165
Cd1 Cd 0.0000 0.0000 0.0000
# - uncorrected energy (eV/atom) = -4.1195
# - calculated formation energy (eV/atom) = -0.113


3.
# BeNiCl PBE optimized geometry
data_BeNiCl
_cell_length_a 2.9314
_cell_length_b 5.1674
_cell_length_c 11.0449
_cell_angle_alpha 90.00
_cell_angle_beta 90.00
_cell_angle_gamma 90.00
_symmetry_space_group_name_H-M 'F m m 2'
_symmetry_Int_Tables_number 42
_symmetry_space_group_name_Hall 'F 2 -2'
loop_
_atom_site_label
_atom_site_type_symbol
_atom_site_fract_x
_atom_site_fract_y
_atom_site_fract_z
Be1 Be 0.0000 0.0000 0.0000
Ni1 Ni 0.0000 0.0000 0.6446
Cl1 Cl 0.0000 0.0000 0.3676
# - uncorrected energy (eV/atom) = -3.7056
# - raw formation energy (eV/atom) = 0.079


4.
# InAgO2 PBE optimized geometry
data_InAgO2
_cell_length_a 3.3328
_cell_length_b 3.3328
_cell_length_c 19.2037
_cell_angle_alpha 90.00
_cell_angle_beta 90.00
_cell_angle_gamma 120.00
_symmetry_space_group_name_H-M 'R -3 m'
_symmetry_Int_Tables_number 166
_symmetry_space_group_name_Hall '-R 3 2"'
loop_
_atom_site_label
_atom_site_type_symbol
_atom_site_fract_x
_atom_site_fract_y
_atom_site_fract_z
In1 In 0.0000 0.0000 0.0000
Ag1 Ag 0.0000 0.0000 0.5000
O1 O 0.0000 0.0000 0.3900
# - uncorrected energy (eV/atom) = -4.9214
# - raw formation energy (eV/atom) = -1.045


5.
# CaPr6SmEr2 PBE optimized geometry
data_CaPr6SmEr2
_cell_length_a 9.4100
_cell_length_b 15.5260
_cell_length_c 9.8341
_cell_angle_alpha 90.00
_cell_angle_beta 96.75
_cell_angle_gamma 90.00
_symmetry_space_group_name_H-M 'C 1 2/c 1'
_symmetry_Int_Tables_number 15
loop_
_symmetry_equiv_pos_as_xyz
'x,y,z'
'-x,-y,-z'
'-x,y,-z+1/2'
'x,-y,z+1/2'
'x+1/2,y+1/2,z'
'-x+1/2,-y+1/2,-z'
'-x+1/2,y+1/2,-z+1/2'
'x+1/2,-y+1/2,z+1/2'
loop_
_atom_site_label
_atom_site_type_symbol
_atom_site_fract_x
_atom_site_fract_y
_atom_site_fract_z
Ca1 Ca 0.0000 0.0284 0.2500
Pr1 Pr 0.0628 0.1830 0.9465
Pr2 Pr 0.1000 0.3939 0.1194
Pr3 Pr 0.2151 0.2312 0.3197
Sm1 Sm 0.0000 0.4074 0.7500
Er1 Er 0.2503 0.0520 0.5466
# - uncorrected energy (eV/atom) = -4.3322
# - calculated formation energy (eV/atom) = 0.120


6.
# SrYRh2 PBE optimized geometry
data_SrYRh2
_cell_length_a 3.3884
_cell_length_b 4.7612
_cell_length_c 10.9498
_cell_angle_alpha 90.00
_cell_angle_beta 90.00
_cell_angle_gamma 90.00
_symmetry_space_group_name_H-M 'I m m 2'
_symmetry_Int_Tables_number 44
loop_
_symmetry_equiv_pos_as_xyz
'x,y,z'
'-x,-y,z'
'-x,y,z'
'x,-y,z'
'x+1/2,y+1/2,z+1/2'
'-x+1/2,-y+1/2,z+1/2'
'-x+1/2,y+1/2,z+1/2'
'x+1/2,-y+1/2,z+1/2'
loop_
_atom_site_label
_atom_site_type_symbol
_atom_site_fract_x
_atom_site_fract_y
_atom_site_fract_z
Sr1 Sr 0.0000 0.0000 0.0000
Y1 Y 0.0000 0.5000 0.7863
Rh1 Rh 0.0000 0.0000 0.5279
Rh2 Rh 0.0000 0.5000 0.2325
# - uncorrected energy (eV/atom) = -5.9509
# - calculated formation energy (eV/atom) = -0.239


7.
# MgZnSe2 PBE optimized geometry
data_MgZnSe2
_cell_length_a 5.3282
_cell_length_b 6.7761
_cell_length_c 11.5298
_cell_angle_alpha 90.00
_cell_angle_beta 90.00
_cell_angle_gamma 90.00
_symmetry_space_group_name_H-M 'C m c m'
_symmetry_Int_Tables_number 63
_symmetry_space_group_name_Hall '-C 2c 2'
loop_
_atom_site_label
_atom_site_type_symbol
_atom_site_fract_x
_atom_site_fract_y
_atom_site_fract_z
Mg1 Mg 0.0000 0.2434 0.2500
Zn1 Zn 0.0000 0.1418 0.7500
Se1 Se 0.0000 0.4471 0.6094
# - uncorrected energy (eV/atom) = -2.6338
# - raw formation energy (eV/atom) = -0.174


8.
# ZrMoH2 PBE optimized geometry
data_ZrMoH2
_cell_length_a 5.5771
_cell_length_b 5.5771
_cell_length_c 5.5771
_cell_angle_alpha 90.00
_cell_angle_beta 90.00
_cell_angle_gamma 90.00
_symmetry_space_group_name_H-M 'F m -3 m'
_symmetry_Int_Tables_number 225
_symmetry_space_group_name_Hall '-F 4 2 3'
loop_
_atom_site_label
_atom_site_type_symbol
_atom_site_fract_x
_atom_site_fract_y
_atom_site_fract_z
Zr1 Zr 0.0000 0.0000 0.0000
Mo1 Mo 0.0000 0.0000 0.5000
H1 H 0.2500 0.2500 0.2500
# - uncorrected energy (eV/atom) = -6.1114


9.
# Rb2YNiCl6 PBE optimized geometry
data_Rb2YNiCl6
_cell_length_a 7.2980
_cell_length_b 7.2980
_cell_length_c 10.3494
_cell_angle_alpha 90.00
_cell_angle_beta 90.00
_cell_angle_gamma 90.00
_symmetry_space_group_name_H-M 'I 4/m m m'
_symmetry_Int_Tables_number 139
_symmetry_space_group_name_Hall '-I 4 2'
loop_
_atom_site_label
_atom_site_type_symbol
_atom_site_fract_x
_atom_site_fract_y
_atom_site_fract_z
Rb1 Rb 0.0000 0.5000 0.2500
Y1 Y 0.0000 0.0000 0.0000
Ni1 Ni 0.0000 0.0000 0.5000
Cl1 Cl 0.0000 0.0000 0.2556
Cl2 Cl 0.2437 0.2437 0.5000
# - uncorrected energy (eV/atom) = -4.2134
# - raw formation energy (eV/atom) = -1.687


10.
# TeAs3N PBE optimized geometry
data_TeAs3N
_cell_length_a 5.3014
_cell_length_b 5.3014
_cell_length_c 5.3014
_cell_angle_alpha 90.00
_cell_angle_beta 90.00
_cell_angle_gamma 90.00
_symmetry_space_group_name_H-M 'P m -3 m'
_symmetry_Int_Tables_number 221
_symmetry_space_group_name_Hall '-P 4 2 3'
loop_
_atom_site_label
_atom_site_type_symbol
_atom_site_fract_x
_atom_site_fract_y
_atom_site_fract_z
Te1 Te 0.0000 0.0000 0.0000
As1 As 0.0000 0.0000 0.5000
N1 N 0.5000 0.5000 0.5000
# - uncorrected energy (eV/atom) = -2.7663
# - raw formation energy (eV/atom) = 2.317


11.
# Sr2PuAs3Pd4 PBE optimized geometry
data_Sr2PuAs3Pd4
_cell_length_a 4.3354
_cell_length_b 4.3354
_cell_length_c 11.5727
_cell_angle_alpha 90.00
_cell_angle_beta 90.00
_cell_angle_gamma 90.00
_symmetry_space_group_name_H-M 'P -4 m 2'
_symmetry_Int_Tables_number 115
loop_
_symmetry_equiv_pos_as_xyz
'x,y,z'
'y,-x,-z'
'-x,-y,z'
'-y,x,-z'
'-x,y,z'
'-y,-x,-z'
'x,-y,z'
'y,x,-z'
loop_
_atom_site_label
_atom_site_type_symbol
_atom_site_fract_x
_atom_site_fract_y
_atom_site_fract_z
Sr1 Sr 0.0000 0.5000 0.2230
Pu1 Pu 0.0000 0.0000 0.5000
As1 As 0.0000 0.5000 0.8776
As2 As 0.5000 0.5000 0.5000
Pd1 Pd 0.0000 0.0000 0.0000
Pd2 Pd 0.0000 0.5000 0.6615
Pd3 Pd 0.5000 0.5000 0.0000
# - uncorrected energy (eV/atom) = -5.9951
# - calculated formation energy (eV/atom) = -0.754


12.
# ErHfBeCu PBE optimized geometry
data_ErHfBeCu
_cell_length_a 6.6006
_cell_length_b 6.6006
_cell_length_c 6.6006
_cell_angle_alpha 90.00
_cell_angle_beta 90.00
_cell_angle_gamma 90.00
_symmetry_space_group_name_H-M 'F -4 3 m'
_symmetry_Int_Tables_number 216
_symmetry_space_group_name_Hall 'F -4 2 3'
loop_
_atom_site_label
_atom_site_type_symbol
_atom_site_fract_x
_atom_site_fract_y
_atom_site_fract_z
Er1 Er 0.0000 0.0000 0.0000
Hf1 Hf 0.0000 0.0000 0.5000
Be1 Be 0.2500 0.2500 0.7500
Cu1 Cu 0.2500 0.2500 0.2500
# - uncorrected energy (eV/atom) = -5.5665
# - calculated formation energy (eV/atom) = 0.018